Below is a relaxed Pr12Dy6Cd crystal, with properties calculated at the GGA-PBE level.

It has space group R-3 (No. 148, hexagonal axes), with a = 13.2783 Å, b = 13.2783 Å, c = 13.0273 Å, α = 90.00°, β = 90.00° and γ = 120.00°. Symmetry generates all atoms from Pr at (0.0005, 0.7411, 0.0002), Pr at (0.0596, 0.5297, 0.1108), Dy at (0.0890, 0.9100, 0.7733) and Cd at (0.0000, 0.0000, 0.0000).

For the total energy, the calculation gives -4.408 eV per atom. The size of the total moment comes out at 0.0 μB per formula unit.

Below is a relaxed Pr3DyCd2 crystal, with properties calculated at the GGA-PBE level.

It has space group P4/mmm (No. 123), with a = 3.8004 Å, b = 3.8004 Å, c = 12.8680 Å, α = 90.00°, β = 90.00° and γ = 90.00°. Symmetry generates all atoms from Pr at (0.0000, 0.0000, 0.0000), Pr at (0.0000, 0.0000, 0.3104), Dy at (0.5000, 0.5000, 0.5000) and Cd at (0.5000, 0.5000, 0.1570).

As for the energy relative to the lowest polymorph listed for this composition: 0.0 kJ per mole of atoms. The size of the total moment comes out at 0.3 μB per formula unit.

Below is a relaxed Pr2Dy3Cd crystal, with properties calculated at the GGA-PBE level.

It has space group Immm (No. 71), with a = 3.6907 Å, b = 5.3919 Å, c = 19.3842 Å, α = 90.00°, β = 90.00° and γ = 90.00°. Symmetry generates all atoms from Pr at (0.0000, 0.0000, 0.1909), Dy at (0.0000, 0.0000, 0.3726), Dy at (0.0000, 0.5000, 0.5000) and Cd at (0.0000, 0.5000, 0.0000).

For the total energy, the calculation gives -4.053 eV per atom. The size of the total moment comes out at 0.0 μB per formula unit.

Below is a relaxed PrDy6Cd crystal, with properties calculated at the GGA-PBE level.

It has space group R-3 (No. 148, hexagonal axes), with a = 9.3067 Å, b = 9.3067 Å, c = 10.0028 Å, α = 90.00°, β = 90.00° and γ = 120.00°. Symmetry generates all atoms from Pr at (0.0000, 0.0000, 0.0000), Dy at (0.0243, 0.7679, 0.7159) and Cd at (0.0000, 0.0000, 0.5000).

For the total energy, the calculation gives -4.112 eV per atom. The size of the total moment comes out at 0.0 μB per formula unit.

Below is a relaxed Pr8Dy6Cd crystal, with properties calculated at the GGA-PBE level.

It has space group P-3 (No. 147), with a = 9.4525 Å, b = 9.4525 Å, c = 6.5376 Å, α = 90.00°, β = 90.00° and γ = 120.00°. Symmetry generates all atoms from Pr at (0.0425, 0.2733, 0.3184), Pr at (0.3333, 0.6667, 0.3544), Dy at (0.0980, 0.4497, 0.8327) and Cd at (0.0000, 0.0000, 0.0000).

For the total energy, the calculation gives -4.355 eV per atom. The size of the total moment comes out at 0.0 μB per formula unit.

Below is a relaxed Pr2DyCd3 crystal, with properties calculated at the GGA-PBE level.

It has space group P4/mmm (No. 123), with a = 3.8122 Å, b = 3.8122 Å, c = 11.6680 Å, α = 90.00°, β = 90.00° and γ = 90.00°. Symmetry generates all atoms from Pr at (0.0000, 0.0000, 0.1720), Dy at (0.0000, 0.0000, 0.5000), Cd at (0.5000, 0.5000, 0.0000) and Cd at (0.5000, 0.5000, 0.3474).

For the total energy, the calculation gives -3.132 eV per atom. The size of the total moment comes out at 1.0 μB per formula unit.

Below is a relaxed Pr2Dy3Cd4 crystal, with properties calculated at the GGA-PBE level.

It has space group Cmce (No. 64), with a = 6.8668 Å, b = 18.5405 Å, c = 8.2767 Å, α = 90.00°, β = 90.00° and γ = 90.00°. Symmetry generates all atoms from Pr at (0.0000, 0.0923, 0.0997), Dy at (0.0000, 0.0000, 0.5000), Dy at (0.2500, 0.2465, 0.7500), Cd at (0.0000, 0.1630, 0.4876) and Cd at (0.2500, 0.0751, 0.7500).

For the total energy, the calculation gives -3.174 eV per atom. The size of the total moment comes out at 0.0 μB per formula unit.

Below is a relaxed PrDy3Cd crystal, with properties calculated at the GGA-PBE level.

It has space group C2/m (No. 12), with a = 13.0679 Å, b = 3.7092 Å, c = 12.6588 Å, α = 90.00°, β = 93.33° and γ = 90.00°. Symmetry generates all atoms from Pr at (0.2339, 0.0000, 0.2521), Dy at (0.0360, 0.0000, 0.6885), Dy at (0.1335, 0.5000, 0.4770), Dy at (0.1454, 0.0000, 0.9497) and Cd at (0.0515, 0.5000, 0.1265).

As for the energy relative to the lowest polymorph listed for this composition: 0.0 kJ per mole of atoms. The size of the total moment comes out at 0.0 μB per formula unit.